Here is SmPb3 at its PBEsol-relaxed geometry from Alexandria. Energies are from SCAN.

Calculated values
energy of formation = -492 meV per atom
E = -273.75 eV/cell
volume = 27.87 Å³/atom

Lattice parameters (Å, degrees): 4.8131 4.8131 4.8131 90.00 90.00 90.00
With the nearest neighbours (Å) after each atom.
Positions (direct):
1 Pb 0.0000 0.5000 0.0000  8 Pb 3.40, 4 Sm 3.40
2 Pb 0.5000 0.0000 0.0000  8 Pb 3.40, 4 Sm 3.40
3 Pb 0.0000 0.0000 0.5000  4 Sm 3.40, 8 Pb 3.40
4 Sm 0.5000 0.5000 0.5000  12 Pb 3.40

***

Here is Sb2Br at its PBEsol-relaxed geometry from Alexandria. Energies are from SCAN.

Calculated values
uncorrected formation energy = -51 kJ/mol of formula units
E = -189.03 eV/cell
offset from the most stable computed form = 0.000 eV per atom
volume = 31.68 Å³/atom

Lattice parameters (Å, degrees): 4.1333 5.7575 8.2515 90.00 104.50 90.00
With the nearest neighbours (Å) after each atom.
Positions (direct):
1 Br 0.1731 0.2500 0.3462  2 Sb 2.91
2 Br 0.8269 0.7500 0.6538  2 Sb 2.91
3 Sb 0.1467 0.7500 0.2933  2 Sb 2.88, 2 Br 2.91
4 Sb 0.8533 0.2500 0.7067  2 Sb 2.88, 2 Br 2.91
5 Sb 0.4787 0.2500 0.9574  4 Sb 2.88-2.96
6 Sb 0.5213 0.7500 0.0426  4 Sb 2.88-2.96